Record 1
Density functional theory data (PBE) for a relaxed LaHo3Co crystal.

Values from the calculation:
Spin magnetization (Bohr magnetons per cell): 0.000
Calculated volume (Å³/cell): 288
Excess energy over the best structure of this formula in the dataset (meV per atom): 0
Calculated formation energy (eV/atom): -0.11
Density of states at the Fermi level (states/eV per atom): 1.05

Cell: 7.149 7.149 8.221 Å, 124.13 124.13 70.65°
Fractional positions:
1 La 0.044 0.044 0.328
2 La 0.956 0.956 0.672
3 Ho 0.048 0.456 0.206
4 Ho 0.455 0.455 0.753
5 Ho 0.456 0.048 0.206
6 Ho 0.544 0.952 0.794
7 Ho 0.545 0.545 0.247
8 Ho 0.952 0.544 0.794
9 Co 0.247 0.247 0.897
10 Co 0.753 0.753 0.103

Record 2
Density functional theory data (PBE) for a relaxed Th3Al4Pd2 crystal.

Values from the calculation:
Spin magnetization (Bohr magnetons per cell): 0.000
Calculated volume (Å³/cell): 203
Calculated formation energy (eV/atom): -0.59
Density of states at the Fermi level (states/eV per atom): 0.95

Cell: 5.862 5.862 8.715 Å, 106.75 106.75 45.45°
Fractional positions:
1 Th 0.000 0.000 0.000
2 Th 0.371 0.371 0.309
3 Th 0.629 0.629 0.691
4 Al 0.100 0.100 0.416
5 Al 0.279 0.279 0.934
6 Al 0.721 0.721 0.066
7 Al 0.900 0.900 0.584
8 Pd 0.331 0.331 0.669
9 Pd 0.669 0.669 0.331